Record 1
First-principles (PBE) data for a relaxed structure of NdMo2, as listed in OQMD via LeMat-Bulk.

- Polymorph energy (0 for the lowest one): 0 meV per atom
- Space-group type: Fd-3m (227)
- ΔE_f: 259 meV/atom
- Volume: 123 Å³ per cell

a b c (Å): 5.5884 5.5884 5.5884
angles (deg): 60.00 60.00 60.00
Closest atoms and distances in Å follow each position.
Sites, in units of the cell vectors:
Nd 0.1250 0.1250 0.1250  12 Mo 3.28, 4 Nd 3.42
Nd 0.8750 0.8750 0.8750  12 Mo 3.28, 4 Nd 3.42
Mo 0.0000 0.5000 0.5000  6 Mo 2.79
Mo 0.5000 0.0000 0.5000  6 Mo 2.79
Mo 0.5000 0.5000 0.0000  6 Mo 2.79
Mo 0.5000 0.5000 0.5000  6 Mo 2.79

***

Record 2
First-principles (PBE) data for a relaxed structure of ThHgOs, as listed in OQMD via LeMat-Bulk.

- Polymorph energy (0 for the lowest one): 32 meV per atom
- Space-group type: F-43m (216)
- ΔE_f: 655 meV/atom
- Volume: 82 Å³ per cell

a b c (Å): 4.8768 4.8768 4.8768
angles (deg): 60.00 60.00 60.00
Closest atoms and distances in Å follow each position.
Sites, in units of the cell vectors:
Th 0.0000 0.0000 0.0000  4 Hg 2.99, 4 Os 2.99
Hg 0.7500 0.7500 0.7500  4 Th 2.99
Os 0.2500 0.2500 0.2500  4 Th 2.99

***

Record 3
First-principles (PBE) data for a relaxed structure of LiCo2Ge, as listed in OQMD via LeMat-Bulk.

- Space-group type: P4/mmm (123)
- Energy: -0.388 Ry/atom
- Volume: 44 Å³ per cell

a b c (Å): 3.9284 3.9284 2.8829
angles (deg): 90.00 90.00 90.00
Closest atoms and distances in Å follow each position.
Sites, in units of the cell vectors:
Li 0.0000 0.0000 0.0000  8 Co 2.44
Co 0.0000 0.5000 0.5000  4 Ge 2.44, 4 Li 2.44
Co 0.5000 0.0000 0.5000  4 Ge 2.44, 4 Li 2.44
Ge 0.5000 0.5000 0.0000  8 Co 2.44

***

Record 4
First-principles (PBE) data for a relaxed structure of Zr2ZnGa, as listed in OQMD via LeMat-Bulk.

- Space-group type: F-43m (216)
- Energy: -0.380 Ry/atom
- Volume: 77 Å³ per cell

a b c (Å): 4.7728 4.7728 4.7728
angles (deg): 60.00 60.00 60.00
Closest atoms and distances in Å follow each position.
Sites, in units of the cell vectors:
Zr 0.0000 0.0000 0.0000  4 Zr 2.92, 4 Zn 2.92
Zr 0.2500 0.2500 0.2500  4 Zr 2.92, 4 Ga 2.92
Zn 0.7500 0.7500 0.7500  4 Ga 2.92, 4 Zr 2.92
Ga 0.5000 0.5000 0.5000  4 Zr 2.92, 4 Zn 2.92

***

Record 5
First-principles (PBE) data for a relaxed structure of KHoZnTe3, as listed in OQMD via LeMat-Bulk.

- Polymorph energy (0 for the lowest one): 19 meV per atom
- Space-group type: P2_1/m (11)
- Volume: 416 Å³ per cell

a b c (Å): 9.2309 4.3806 10.8929
angles (deg): 90.00 109.02 90.00
Closest atoms and distances in Å follow each position.
Sites, in units of the cell vectors:
K 0.2389 0.2500 0.2772  6 Te 3.50-3.73
K 0.7611 0.7500 0.7228  6 Te 3.50-3.73
Ho 0.3201 0.7500 0.8614  6 Te 3.03-3.22
Ho 0.6799 0.2500 0.1386  6 Te 3.03-3.22
Zn 0.0809 0.2500 0.6102  4 Te 2.64-2.78
Zn 0.9191 0.7500 0.3898  4 Te 2.64-2.78
Te 0.0815 0.2500 0.8524  1 Zn 2.64
Te 0.2236 0.7500 0.5499  3 Zn 2.74-2.78
Te 0.4539 0.7500 0.1550  3 Ho 3.03-3.07
Te 0.5461 0.2500 0.8450  3 Ho 3.03-3.07
Te 0.7764 0.2500 0.4501  3 Zn 2.74-2.78
Te 0.9185 0.7500 0.1476  1 Zn 2.64

***

Record 6
First-principles (PBE) data for a relaxed structure of TmSiO3, as listed in OQMD via LeMat-Bulk.

- Space-group type: C2/c (15)
- Energy: -0.563 Ry/atom
- Volume: 255 Å³ per cell

a b c (Å): 7.1859 7.1859 5.2747
angles (deg): 103.60 103.60 80.09
Closest atoms and distances in Å follow each position.
Sites, in units of the cell vectors:
Tm 0.0783 0.9217 0.7500  6 O 2.24-2.46
Tm 0.2564 0.7436 0.2500  6 O 2.25-2.50
Tm 0.7436 0.2564 0.7500  6 O 2.25-2.50
Tm 0.9217 0.0783 0.2500  6 O 2.24-2.46
Si 0.2116 0.3917 0.7918  4 O 1.60-1.69
Si 0.3917 0.2116 0.2918  4 O 1.60-1.69
Si 0.6083 0.7884 0.7082  4 O 1.60-1.69
Si 0.7884 0.6083 0.2082  4 O 1.60-1.69
O 0.0422 0.2544 0.6829  1 Si 1.61
O 0.1474 0.6183 0.8160  1 Si 1.60
O 0.2544 0.0422 0.1829  1 Si 1.61
O 0.3159 0.3840 0.1128  2 Si 1.67-1.69
O 0.3817 0.8526 0.6840  1 Si 1.60
O 0.3840 0.3159 0.6128  2 Si 1.67-1.69
O 0.6160 0.6841 0.3872  2 Si 1.67-1.69
O 0.6183 0.1474 0.3160  1 Si 1.60
O 0.6841 0.6160 0.8872  2 Si 1.67-1.69
O 0.7456 0.9578 0.8171  1 Si 1.61
O 0.8526 0.3817 0.1840  1 Si 1.60
O 0.9578 0.7456 0.3171  1 Si 1.61